# Hf2ZrCd

A geometry-optimized Hf2ZrCd structure (GGA-PBE, Alexandria via LeMat-Bulk).

- DFT formation energy: -0.5 kcal/mol of atoms

a b c (Å): 3.186 3.186 8.756
angles (deg): 90.00 90.00 90.00
Positions (direct):
Hf1 0.000 0.000 0.249
Hf2 0.000 0.000 0.751
Zr1 0.500 0.500 0.500
Cd1 0.500 0.500 0.000